CsLi3Ca | PBE | optimized geometry

abc: 5.802 5.802 5.802
angles: 90.00 90.00 90.00
Element x y z (fractional)
Cs 0.000 0.000 0.000
Ca 0.500 0.500 0.500
Li 0.500 0.000 0.000
Li 0.000 0.500 0.000
Li 0.000 0.000 0.500

Summary:
Fermi-level density of states ... 0.95 states/eV/atom
ΔH_f (0 K) ... 0.658 eV per atom